Crystalline Cs2Mg3MoF12 at its relaxed geometry. Source: the Alexandria database, functional GGA+U.

Results
Calculated density = 3.7 g/cm3
Electronic total energy = -275.53 eV/cell

CIF file:
```
data_Cs2Mg3MoF12
_chemical_formula_sum 'Cs6 Mg9 Mo3 F36'
_space_group_name_H-M_alt 'R -3 m'
_space_group_IT_number 166
_space_group_name_Hall '-R 3 2"'
_cell_length_a 7.4206
_cell_length_b 7.4206
_cell_length_c 18.9512
_cell_angle_alpha 90.00
_cell_angle_beta 90.00
_cell_angle_gamma 120.00
loop_
_atom_site_label
_atom_site_type_symbol
_atom_site_fract_x
_atom_site_fract_y
_atom_site_fract_z
Cs1 Cs 0.0000 0.0000 0.1042
Mg1 Mg 0.0000 0.5000 0.0000
Mo1 Mo 0.0000 0.0000 0.5000
F1 F 0.0718 0.5359 0.1092
F2 F 0.0773 0.5387 0.3501
```